Record 1
A relaxed structure of CaBi2Pb. Source: the Alexandria database, functional PBE.

E	-3.65	eV per atom
SG	R3m, No. 160
formation energy from the elements	-278	meV/atom

abc: 5.195 5.195 6.862
angles: 67.76 67.76 60.00
Positions (direct):
Pb (0.493, 0.493, 0.522)
Bi (0.081, 0.081, 0.757)
Bi (0.252, 0.252, 0.244)
Ca (0.674, 0.674, 0.977)

Record 2
A relaxed structure of Ca2Bi4Pb. Source: the Alexandria database, functional PBE.

E	-3.73	eV per atom
SG	C2/m, No. 12
formation energy from the elements	-416	meV/atom
energy above the most stable polymorph in this dataset	0.000	eV/atom

abc: 6.918 6.918 6.923
angles: 119.91 119.91 90.47
Positions (direct):
Bi (0.286, 0.786, 0.071)
Bi (0.786, 0.286, 0.071)
Bi (0.786, 0.786, 0.072)
Bi (0.286, 0.286, 0.071)
Pb (0.786, 0.786, 0.571)
Ca (0.786, 0.286, 0.571)
Ca (0.286, 0.786, 0.571)

Record 3
A relaxed structure of Ca3Bi2Pd4Pb2. Source: the Alexandria database, functional PBE.

E	-4.42	eV per atom
SG	P-3m1, No. 164
formation energy from the elements	-610	meV/atom

abc: 4.796 4.796 13.651
angles: 90.00 90.00 120.00
Positions (direct):
Pd (0.333, 0.667, 0.362)
Pd (0.667, 0.333, 0.638)
Pd (0.333, 0.667, 0.880)
Pd (0.667, 0.333, 0.120)
Ca (0.000, 0.000, 0.273)
Ca (0.000, 0.000, 0.000)
Ca (0.000, 0.000, 0.727)
Pb (0.667, 0.333, 0.430)
Pb (0.333, 0.667, 0.570)
Bi (0.333, 0.667, 0.146)
Bi (0.667, 0.333, 0.854)